Record 1
VASP calculation (PBE) on Cs2TlC after structural relaxation.

Structure (CIF):
```
data_Cs2TlC
_chemical_formula_sum 'Cs2 Tl1 C1'
_symmetry_space_group_name_H-M 'P 1'
_symmetry_Int_Tables_number 1
_symmetry_space_group_name_Hall 'P 1'
_cell_length_a 6.183
_cell_length_b 6.183
_cell_length_c 6.183
_cell_angle_alpha 60.00
_cell_angle_beta 60.00
_cell_angle_gamma 60.00
loop_
_atom_site_label
_atom_site_fract_x
_atom_site_fract_y
_atom_site_fract_z
Cs1 0.250 0.250 0.250
Cs2 0.750 0.750 0.750
Tl1 0.500 0.500 0.500
C1 0.000 0.000 0.000
```

Summary:
- crystal system = cubic
- ΔE_f (eV/atom) = 1.341

---

Record 2
VASP calculation (PBE) on CsUC after structural relaxation.

Structure (CIF):
```
data_CsUC
_chemical_formula_sum 'Cs2 U2 C2'
_symmetry_space_group_name_H-M 'P 1'
_symmetry_Int_Tables_number 1
_symmetry_space_group_name_Hall 'P 1'
_cell_length_a 7.188
_cell_length_b 8.184
_cell_length_c 4.468
_cell_angle_alpha 70.17
_cell_angle_beta 90.00
_cell_angle_gamma 116.05
loop_
_atom_site_label
_atom_site_fract_x
_atom_site_fract_y
_atom_site_fract_z
C1 0.090 0.180 0.717
C2 0.910 0.820 0.283
Cs1 0.346 0.692 0.376
Cs2 0.654 0.308 0.624
U1 0.934 0.868 0.765
U2 0.066 0.132 0.235
```

Summary:
- crystal system = monoclinic
- ΔE_f (eV/atom) = 0.693

---

Record 3
VASP calculation (PBE) on CsVC6 after structural relaxation.

Structure (CIF):
```
data_CsVC6
_chemical_formula_sum 'Cs1 V1 C6'
_symmetry_space_group_name_H-M 'P 1'
_symmetry_Int_Tables_number 1
_symmetry_space_group_name_Hall 'P 1'
_cell_length_a 5.299
_cell_length_b 5.299
_cell_length_c 5.299
_cell_angle_alpha 90.00
_cell_angle_beta 90.00
_cell_angle_gamma 90.00
loop_
_atom_site_label
_atom_site_fract_x
_atom_site_fract_y
_atom_site_fract_z
Cs1 0.500 0.500 0.500
V1 0.000 0.000 0.000
C1 0.620 0.000 0.000
C2 0.380 0.000 0.000
C3 0.000 0.620 0.000
C4 0.000 0.000 0.620
C5 0.000 0.380 0.000
C6 0.000 0.000 0.380
```

Summary:
- crystal system = cubic
- ΔE_f (eV/atom) = 0.889

---

Record 4
VASP calculation (PBE) on CsVC3 after structural relaxation.

Structure (CIF):
```
data_CsVC3
_chemical_formula_sum 'Cs1 V1 C3'
_symmetry_space_group_name_H-M 'P 1'
_symmetry_Int_Tables_number 1
_symmetry_space_group_name_Hall 'P 1'
_cell_length_a 4.432
_cell_length_b 4.432
_cell_length_c 4.432
_cell_angle_alpha 90.00
_cell_angle_beta 90.00
_cell_angle_gamma 90.00
loop_
_atom_site_label
_atom_site_fract_x
_atom_site_fract_y
_atom_site_fract_z
Cs1 0.000 0.000 0.000
C1 0.000 0.500 0.000
C2 0.000 0.000 0.500
C3 0.500 0.000 0.000
V1 0.500 0.500 0.500
```

Summary:
- crystal system = cubic
- ΔE_f (eV/atom) = 4.207
- energy relative to the lowest polymorph listed for this composition (meV/atom) = 2429